Entry from Alexandria via LeMat-Bulk: a relaxed BaCdAg4 crystal (PBEsol).

For the formation energy, the calculation gives -133.1 meV/atom.

The space group is F-43m (No. 216) and the conventional cell measures 8.003, 8.003 and 8.003 Å, with angles of 90.00, 90.00 and 90.00 degrees. Symmetry generates all atoms from Ba at (0.000, 0.000, 0.000), Cd at (0.250, 0.250, 0.250) and Ag at (0.124, 0.124, 0.624).